# 1
# TbPmHg

A relaxed TbPmHg crystal (GGA-PBE, Alexandria).

a = 3.773 Å, b = 8.942 Å, c = 8.942 Å
α = 120.00°, β = 90.00°, γ = 90.00°
Fractional positions:
1 Tb 0.000 0.000 0.274
2 Tb 0.000 0.726 0.726
3 Tb 0.000 0.274 0.000
4 Pm 0.500 0.000 0.607
5 Pm 0.500 0.393 0.393
6 Pm 0.500 0.607 0.000
7 Hg 0.500 0.000 0.000
8 Hg 0.000 0.667 0.333
9 Hg 0.000 0.333 0.667

Properties
Energy relative to the lowest polymorph listed for this composition (meV/atom): 20.8
DOS(E_F) (states/eV per atom): 1.430
Space group: P-62m (189)
Formation energy from the elements (eV per atom): -0.28
VASP energy (eV per cell): -31.60

# 2
# Tb3PmHg

A relaxed Tb3PmHg crystal (GGA-PBE, Alexandria).

a = 3.684 Å, b = 5.527 Å, c = 15.011 Å
α = 90.03°, β = 97.05°, γ = 90.00°
Fractional positions:
1 Tb 0.048 0.248 0.096
2 Tb 0.952 0.752 0.904
3 Tb 0.341 0.750 0.683
4 Tb 0.659 0.250 0.317
5 Tb 0.126 0.750 0.253
6 Tb 0.874 0.250 0.747
7 Pm 0.733 0.750 0.466
8 Pm 0.267 0.250 0.534
9 Hg 0.541 0.747 0.082
10 Hg 0.459 0.253 0.918

Properties
Energy relative to the lowest polymorph listed for this composition (meV/atom): 0.0
DOS(E_F) (states/eV per atom): 1.368
Space group: C2/m (12)
Formation energy from the elements (eV per atom): -0.18
VASP energy (eV per cell): -39.71

# 3
# Tb4Pm3Hg4

A relaxed Tb4Pm3Hg4 crystal (GGA-PBE, Alexandria).

a = 4.931 Å, b = 8.033 Å, c = 9.493 Å
α = 115.03°, β = 105.05°, γ = 90.00°
Fractional positions:
1 Tb 0.327 0.116 0.654
2 Tb 0.673 0.462 0.346
3 Tb 0.673 0.884 0.346
4 Tb 0.327 0.538 0.654
5 Pm 0.110 0.110 0.221
6 Pm 0.890 0.890 0.779
7 Pm 0.000 0.500 0.000
8 Hg 0.213 0.713 0.426
9 Hg 0.787 0.287 0.574
10 Hg 0.500 0.810 0.000
11 Hg 0.500 0.190 0.000

Properties
DOS(E_F) (states/eV per atom): 0.794
Space group: Immm (71)
Formation energy from the elements (eV per atom): -0.27
VASP energy (eV per cell): -36.92

# 4
# Tb2PmHg3

A relaxed Tb2PmHg3 crystal (GGA-PBE, Alexandria).

a = 5.296 Å, b = 8.387 Å, c = 7.587 Å
α = 90.00°, β = 90.00°, γ = 71.60°
Each line ends with the local moment (μB).
Fractional positions:
1 Tb 0.000 0.000 0.000  0.19
2 Tb 0.000 0.000 0.500  0.09
3 Tb 0.332 0.336 0.500  0.13
4 Tb 0.668 0.664 0.500  0.13
5 Pm 0.334 0.333 0.000  0.20
6 Pm 0.666 0.667 0.000  0.20
7 Hg 0.836 0.328 0.741  0.01
8 Hg 0.500 0.000 0.258  0.01
9 Hg 0.164 0.672 0.259  0.01
10 Hg 0.836 0.328 0.259  0.01
11 Hg 0.164 0.672 0.741  0.01
12 Hg 0.500 0.000 0.742  0.01

Properties
DOS(E_F) (states/eV per atom): 1.187
Space group: Cmmm (65)
Formation energy from the elements (eV per atom): -0.48
VASP energy (eV per cell): -35.55

# 5
# Tb2Pm8Hg

A relaxed Tb2Pm8Hg crystal (GGA-PBE, Alexandria).

a = 5.625 Å, b = 7.745 Å, c = 9.574 Å
α = 111.07°, β = 107.08°, γ = 90.00°
Fractional positions:
1 Tb 0.810 0.331 0.620
2 Tb 0.190 0.669 0.380
3 Pm 0.379 0.581 0.757
4 Pm 0.652 0.903 0.304
5 Pm 0.819 0.792 0.638
6 Pm 0.994 0.248 0.989
7 Pm 0.181 0.208 0.362
8 Pm 0.348 0.097 0.696
9 Pm 0.621 0.419 0.243
10 Pm 0.006 0.752 0.011
11 Hg 0.500 0.000 0.000

Properties
DOS(E_F) (states/eV per atom): 1.548
Space group: C2/m (12)
Formation energy from the elements (eV per atom): 0.02
VASP energy (eV per cell): -47.40

# 6
# Tb7PmHg2

A relaxed Tb7PmHg2 crystal (GGA-PBE, Alexandria).

a = 5.357 Å, b = 8.893 Å, c = 8.893 Å
α = 118.20°, β = 90.00°, γ = 90.00°
Each line ends with the local moment (μB).
Fractional positions:
1 Tb 0.000 0.762 0.238  0.13
2 Tb 0.000 0.238 0.762  0.13
3 Tb 0.500 0.061 0.305  0.20
4 Tb 0.500 0.939 0.695  0.20
5 Tb 0.500 0.305 0.061  0.20
6 Tb 0.500 0.695 0.939  0.20
7 Tb 0.500 0.500 0.500  0.11
8 Pm 0.000 0.000 0.000  0.15
9 Hg 0.500 0.694 0.306  0.02
10 Hg 0.500 0.306 0.694  0.02

Properties
DOS(E_F) (states/eV per atom): 2.055
Space group: Cmmm (65)
Formation energy from the elements (eV per atom): 0.28
VASP energy (eV per cell): -34.97

# 7
# Tb2Pm5Hg4

A relaxed Tb2Pm5Hg4 crystal (GGA-PBE, Alexandria).

a = 3.706 Å, b = 21.084 Å, c = 11.417 Å
α = 156.66°, β = 99.34°, γ = 90.00°
Fractional positions:
1 Tb 0.076 0.367 0.153
2 Tb 0.924 0.633 0.847
3 Pm 0.884 0.754 0.768
4 Pm 0.116 0.246 0.232
5 Pm 0.325 0.240 0.649
6 Pm 0.500 0.000 0.000
7 Pm 0.675 0.760 0.351
8 Hg 0.133 0.581 0.267
9 Hg 0.342 0.042 0.683
10 Hg 0.867 0.419 0.733
11 Hg 0.658 0.958 0.317

Properties
DOS(E_F) (states/eV per atom): 1.182
Space group: C2/m (12)
Formation energy from the elements (eV per atom): -0.26
VASP energy (eV per cell): -37.06

# 8
# TbPmHg

A relaxed TbPmHg crystal (GGA-PBE, Alexandria).

a = 5.175 Å, b = 5.175 Å, c = 5.175 Å
α = 60.00°, β = 60.00°, γ = 60.00°
Each line ends with the local moment (μB).
Fractional positions:
1 Tb 0.000 0.000 0.000  0.09
2 Hg 0.250 0.250 0.250  0.01
3 Pm 0.500 0.500 0.500  0.07

Properties
Energy relative to the lowest polymorph listed for this composition (meV/atom): 207.5
DOS(E_F) (states/eV per atom): 1.650
Space group: F-43m (216)
Formation energy from the elements (eV per atom): -0.10
VASP energy (eV per cell): -9.97

# 9
# Tb2Pm2Hg3

A relaxed Tb2Pm2Hg3 crystal (GGA-PBE, Alexandria).

a = 5.290 Å, b = 5.290 Å, c = 9.018 Å
α = 90.01°, β = 107.05°, γ = 120.00°
Each line ends with the local moment (μB).
Fractional positions:
1 Tb 0.256 0.128 0.383  0.08
2 Tb 0.744 0.872 0.617  0.08
3 Pm 0.762 0.381 0.143  0.07
4 Pm 0.238 0.619 0.857  0.07
5 Hg 0.000 0.000 0.000  0.00
6 Hg 0.495 0.247 0.743  0.01
7 Hg 0.505 0.753 0.257  0.01

Properties
DOS(E_F) (states/eV per atom): 1.352
Space group: R-3m (166)
Formation energy from the elements (eV per atom): -0.31
VASP energy (eV per cell): -21.84

# 10
# Tb12Pm3Hg

A relaxed Tb12Pm3Hg crystal (GGA-PBE, Alexandria).

a = 4.988 Å, b = 4.988 Å, c = 20.223 Å
α = 90.00°, β = 90.00°, γ = 90.00°
Fractional positions:
1 Tb 0.500 0.500 0.000
2 Tb 0.500 0.500 0.242
3 Tb 0.500 0.500 0.500
4 Tb 0.500 0.500 0.758
5 Tb 0.500 0.000 0.119
6 Tb 0.500 0.000 0.373
7 Tb 0.500 0.000 0.627
8 Tb 0.500 0.000 0.881
9 Tb 0.000 0.500 0.119
10 Tb 0.000 0.500 0.373
11 Tb 0.000 0.500 0.627
12 Tb 0.000 0.500 0.881
13 Pm 0.000 0.000 0.247
14 Pm 0.000 0.000 0.500
15 Pm 0.000 0.000 0.753
16 Hg 0.000 0.000 0.000

Properties
DOS(E_F) (states/eV per atom): 1.300
Space group: P4/mmm (123)
Formation energy from the elements (eV per atom): -0.02
VASP energy (eV per cell): -70.38

# 11
# TbPmHg2

A relaxed TbPmHg2 crystal (GGA-PBE, Alexandria).

a = 3.759 Å, b = 3.759 Å, c = 7.619 Å
α = 90.00°, β = 90.00°, γ = 90.00°
Each line ends with the local moment (μB).
Fractional positions:
1 Tb 0.500 0.500 0.000  0.13
2 Hg 0.000 0.000 0.763  0.02
3 Hg 0.000 0.000 0.237  0.02
4 Pm 0.500 0.500 0.500  0.23

Properties
Energy relative to the lowest polymorph listed for this composition (meV/atom): 0.0
DOS(E_F) (states/eV per atom): 1.109
Space group: P4/mmm (123)
Formation energy from the elements (eV per atom): -0.48
VASP energy (eV per cell): -11.90

# 12
# Tb12Pm5Hg2

A relaxed Tb12Pm5Hg2 crystal (GGA-PBE, Alexandria).

a = 9.364 Å, b = 12.056 Å, c = 8.309 Å
α = 131.32°, β = 90.00°, γ = 112.85°
Fractional positions:
1 Tb 0.080 0.161 0.278
2 Tb 0.037 0.706 0.942
3 Tb 0.670 0.706 0.942
4 Tb 0.182 0.750 0.414
5 Tb 0.568 0.750 0.414
6 Tb 0.552 0.105 0.792
7 Tb 0.448 0.895 0.208
8 Tb 0.818 0.250 0.586
9 Tb 0.432 0.250 0.586
10 Tb 0.963 0.294 0.058
11 Tb 0.330 0.294 0.058
12 Tb 0.920 0.839 0.722
13 Pm 0.307 0.614 0.621
14 Pm 0.235 0.471 0.890
15 Pm 0.000 0.000 0.500
16 Pm 0.765 0.529 0.110
17 Pm 0.693 0.386 0.379
18 Hg 0.689 0.000 0.000
19 Hg 0.311 0.000 0.000

Properties
DOS(E_F) (states/eV per atom): 1.475
Space group: C2/m (12)
Formation energy from the elements (eV per atom): 0.01
VASP energy (eV per cell): -79.80

# 13
# Tb8PmHg2

A relaxed Tb8PmHg2 crystal (GGA-PBE, Alexandria).

a = 5.589 Å, b = 8.682 Å, c = 8.682 Å
α = 119.07°, β = 100.35°, γ = 100.35°
Fractional positions:
1 Tb 0.892 0.908 0.679
2 Tb 0.892 0.679 0.908
3 Tb 0.298 0.599 0.599
4 Tb 0.500 0.774 0.226
5 Tb 0.500 0.226 0.774
6 Tb 0.702 0.401 0.401
7 Tb 0.108 0.321 0.092
8 Tb 0.108 0.092 0.321
9 Pm 0.500 0.000 0.000
10 Hg 0.000 0.306 0.694
11 Hg 0.000 0.694 0.306

Properties
DOS(E_F) (states/eV per atom): 1.225
Space group: C2/m (12)
Formation energy from the elements (eV per atom): -0.05
VASP energy (eV per cell): -42.97

# 14
# Tb2Pm3Hg7

A relaxed Tb2Pm3Hg7 crystal (GGA-PBE, Alexandria).

a = 5.567 Å, b = 5.205 Å, c = 11.854 Å
α = 102.68°, β = 90.00°, γ = 90.00°
Fractional positions:
1 Tb 0.000 0.858 0.715
2 Tb 0.000 0.142 0.285
3 Pm 0.500 0.500 0.000
4 Pm 0.500 0.670 0.340
5 Pm 0.500 0.330 0.660
6 Hg 0.000 0.425 0.850
7 Hg 0.000 0.724 0.447
8 Hg 0.000 0.000 0.000
9 Hg 0.000 0.575 0.150
10 Hg 0.500 0.086 0.172
11 Hg 0.500 0.914 0.828
12 Hg 0.000 0.276 0.553

Properties
DOS(E_F) (states/eV per atom): 0.702
Space group: Cmmm (65)
Formation energy from the elements (eV per atom): -0.33
VASP energy (eV per cell): -29.60

# 15
# Tb3PmHg12

A relaxed Tb3PmHg12 crystal (GGA-PBE, Alexandria).

a = 4.553 Å, b = 4.553 Å, c = 19.255 Å
α = 90.00°, β = 90.00°, γ = 90.00°
Fractional positions:
1 Tb 0.000 0.000 0.252
2 Tb 0.000 0.000 0.500
3 Tb 0.000 0.000 0.748
4 Pm 0.000 0.000 0.000
5 Hg 0.500 0.500 0.000
6 Hg 0.500 0.500 0.252
7 Hg 0.500 0.500 0.500
8 Hg 0.500 0.500 0.748
9 Hg 0.500 0.000 0.127
10 Hg 0.500 0.000 0.376
11 Hg 0.500 0.000 0.624
12 Hg 0.500 0.000 0.873
13 Hg 0.000 0.500 0.127
14 Hg 0.000 0.500 0.376
15 Hg 0.000 0.500 0.624
16 Hg 0.000 0.500 0.873

Properties
DOS(E_F) (states/eV per atom): 0.715
Space group: P4/mmm (123)
Formation energy from the elements (eV per atom): -0.33
VASP energy (eV per cell): -27.53

# 16
# Tb7Pm4Hg

A relaxed Tb7Pm4Hg crystal (GGA-PBE, Alexandria).

a = 3.609 Å, b = 3.609 Å, c = 34.131 Å
α = 90.00°, β = 90.00°, γ = 120.00°
Fractional positions:
1 Tb 0.000 0.000 0.000
2 Tb 0.667 0.333 0.571
3 Tb 0.333 0.667 0.429
4 Tb 0.667 0.333 0.828
5 Tb 0.333 0.667 0.172
6 Tb 0.000 0.000 0.257
7 Tb 0.000 0.000 0.743
8 Pm 0.667 0.333 0.086
9 Pm 0.333 0.667 0.914
10 Pm 0.667 0.333 0.343
11 Pm 0.333 0.667 0.657
12 Hg 0.000 0.000 0.500

Properties
DOS(E_F) (states/eV per atom): 1.220
Space group: P-3m1 (164)
Formation energy from the elements (eV per atom): -0.05
VASP energy (eV per cell): -52.28

# 17
# TbPm3Hg7

A relaxed TbPm3Hg7 crystal (GGA-PBE, Alexandria).

a = 12.625 Å, b = 12.625 Å, c = 13.164 Å
α = 90.00°, β = 90.00°, γ = 163.13°
Fractional positions:
1 Tb 0.020 0.980 0.250
2 Tb 0.980 0.020 0.750
3 Pm 0.857 0.143 0.427
4 Pm 0.143 0.857 0.573
5 Pm 0.825 0.175 0.750
6 Pm 0.175 0.825 0.250
7 Pm 0.857 0.143 0.073
8 Pm 0.143 0.857 0.927
9 Hg 0.696 0.304 0.750
10 Hg 0.304 0.696 0.250
11 Hg 0.462 0.538 0.405
12 Hg 0.538 0.462 0.595
13 Hg 0.538 0.462 0.905
14 Hg 0.462 0.538 0.095
15 Hg 0.595 0.405 0.388
16 Hg 0.405 0.595 0.612
17 Hg 0.726 0.274 0.420
18 Hg 0.274 0.726 0.580
19 Hg 0.274 0.726 0.920
20 Hg 0.726 0.274 0.080
21 Hg 0.595 0.405 0.112
22 Hg 0.405 0.595 0.888

Properties
DOS(E_F) (states/eV per atom): 0.871
Space group: Cmcm (63)
Formation energy from the elements (eV per atom): -0.33
VASP energy (eV per cell): -49.34

# 18
# Tb4PmHg7

A relaxed Tb4PmHg7 crystal (GGA-PBE, Alexandria).

a = 5.588 Å, b = 9.748 Å, c = 6.944 Å
α = 81.82°, β = 66.27°, γ = 73.34°
Fractional positions:
1 Tb 0.583 0.224 0.611
2 Tb 0.417 0.776 0.389
3 Tb 0.738 0.673 0.851
4 Tb 0.262 0.327 0.149
5 Pm 0.000 0.000 0.000
6 Hg 0.791 0.912 0.506
7 Hg 0.209 0.088 0.494
8 Hg 0.070 0.663 0.197
9 Hg 0.930 0.337 0.803
10 Hg 0.359 0.540 0.742
11 Hg 0.500 0.000 0.000
12 Hg 0.641 0.460 0.258

Properties
DOS(E_F) (states/eV per atom): 0.581
Space group: C2/m (12)
Formation energy from the elements (eV per atom): -0.32
VASP energy (eV per cell): -29.18

# 19
# TbPmThHg

A relaxed TbPmThHg crystal (GGA-PBE, Alexandria).

a = 5.476 Å, b = 5.476 Å, c = 5.476 Å
α = 60.00°, β = 60.00°, γ = 60.00°
Fractional positions:
1 Tb 0.000 0.000 0.000
2 Hg 0.250 0.250 0.250
3 Th 0.500 0.500 0.500
4 Pm 0.750 0.750 0.750

Properties
DOS(E_F) (states/eV per atom): 1.757
Space group: F-43m (216)
Formation energy from the elements (eV per atom): 0.03
VASP energy (eV per cell): -17.00

# 20
# TbPmTlHg

A relaxed TbPmTlHg crystal (GGA-PBE, Alexandria).

a = 5.395 Å, b = 5.395 Å, c = 5.395 Å
α = 60.00°, β = 60.00°, γ = 60.00°
Each line ends with the local moment (μB).
Fractional positions:
1 Tl 0.000 0.000 0.000  -0.01
2 Tb 0.250 0.250 0.250  0.24
3 Hg 0.500 0.500 0.500  0.03
4 Pm 0.750 0.750 0.750  0.19

Properties
DOS(E_F) (states/eV per atom): 1.039
Space group: F-43m (216)
Formation energy from the elements (eV per atom): -0.42
VASP energy (eV per cell): -13.74